[1]
{"formula": "Sm6Os2Pb", "functional": "PBE", "state": "relaxed", "lattice_angstrom": [[-1.7003, -3.6147, 7.7507], [6.9089, -3.6068, -3.9101], [2.0013, 8.4379, 0.9101]], "species": ["Sm", "Sm", "Sm", "Sm", "Sm", "Sm", "Sm", "Sm", "Sm", "Sm", "Sm", "Sm", "Os", "Os", "Os", "Os", "Pb", "Pb"], "fractional_positions": [[0.3138, 0.6438, 0.3300], [0.0972, 0.2823, 0.8150], [0.2111, 0.7603, 0.9715], [0.2111, 0.2397, 0.4508], [0.6862, 0.3562, 0.6700], [0.5327, 0.7177, 0.8150], [0.6862, 0.0162, 0.3300], [0.7889, 0.2397, 0.0285], [0.7889, 0.7603, 0.5492], [0.9028, 0.7177, 0.1850], [0.3138, 0.9838, 0.6700], [0.4673, 0.2823, 0.1850], [0.3333, 0.0000, 0.3333], [0.6667, 0.0000, 0.6667], [0.5000, 0.6181, 0.1181], [0.5000, 0.3819, 0.8819], [0.0000, 0.5000, 0.5000], [0.0000, 0.0000, 0.0000]], "vol_a3_per_cell": 508.3, "formation_enthalpy_0k_ev_per_atom": -0.253, "space_group": "No. 71"}



[2]
{"formula": "Li2RuF", "functional": "PBE", "state": "relaxed", "lattice_angstrom": [[7.2454, 0.0000, -0.0278], [0.0000, 2.6585, 0.0000], [-0.9898, 0.0000, 4.5654]], "species": ["Li", "Li", "Li", "Li", "F", "F", "Ru", "Ru"], "fractional_positions": [[0.1271, 0.0000, 0.6144], [0.1271, 0.5000, 0.1144], [0.7836, 0.0000, 0.8351], [0.7836, 0.5000, 0.3351], [0.9558, 0.5000, 0.7252], [0.9558, 0.0000, 0.2252], [0.4562, 0.5000, 0.8957], [0.4562, 0.0000, 0.3957]], "vol_a3_per_cell": 87.9, "e_form_raw_ev_per_atom": -1.31, "space_group": "No. 8"}



[3]
{"formula": "MgTeHI2", "functional": "PBE", "state": "relaxed", "lattice_angstrom": [[-2.3883, -1.6427, 5.0396], [1.2981, -5.5405, -1.1908], [5.0130, 0.6204, 2.5779]], "species": ["I", "I", "H", "Te", "Mg"], "fractional_positions": [[0.0000, 0.5000, 0.0000], [0.5000, 0.0000, 0.0000], [0.5000, 0.5000, 0.5000], [0.0000, 0.0000, 0.5000], [0.0000, 0.0000, 0.0000]], "vol_a3_per_cell": 191.7, "energy_ev_per_atom": -1.961, "space_group": "No. 123"}



[4]
{"formula": "Tl2TeO4", "functional": "PBE", "state": "relaxed", "lattice_angstrom": [[3.9893, 0.0000, 0.0000], [0.0000, 3.9893, 0.0000], [1.9946, 1.9946, 7.7276]], "species": ["O", "O", "O", "O", "Tl", "Tl", "Te"], "fractional_positions": [[0.8779, 0.8779, 0.2441], [0.1221, 0.1221, 0.7559], [0.0000, 0.5000, 0.0000], [0.5000, 0.0000, 0.0000], [0.3423, 0.3423, 0.3154], [0.6577, 0.6577, 0.6846], [0.0000, 0.0000, 0.0000]], "vol_a3_per_cell": 123.0, "e_form_raw_ev_per_atom": -0.82, "space_group": "No. 139"}



[5]
{"formula": "Rb2BaNpO5", "functional": "PBE", "state": "relaxed", "lattice_angstrom": [[4.2976, 0.0000, 0.0000], [0.0000, 6.1704, 0.0000], [-2.1488, -3.0852, 6.7740]], "species": ["O", "O", "O", "O", "O", "Np", "Ba", "Rb", "Rb"], "fractional_positions": [[0.3957, 0.6570, 0.7913], [0.6043, 0.3430, 0.2087], [0.3957, 0.1343, 0.7913], [0.0000, 0.0000, 0.0000], [0.6043, 0.8657, 0.2087], [0.5000, 0.0000, 0.0000], [0.0000, 0.5000, 0.0000], [0.2204, 0.2204, 0.4407], [0.7796, 0.7796, 0.5593]], "vol_a3_per_cell": 179.6, "e_form_raw_ev_per_atom": -2.48, "space_group": "No. 71"}



[6]
{"formula": "Pm2PrSmTl2", "functional": "PBE", "state": "relaxed", "lattice_angstrom": [[5.2667, 0.0000, 0.0000], [0.0000, 6.9195, 0.0000], [0.0000, 0.0000, 10.2954]], "species": ["Tl", "Tl", "Tl", "Tl", "Pm", "Pm", "Pm", "Pm", "Pr", "Pr", "Sm", "Sm"], "fractional_positions": [[0.0000, 0.2972, 0.8636], [0.5000, 0.7201, 0.6371], [0.0000, 0.7972, 0.1364], [0.5000, 0.2201, 0.3629], [0.5000, 0.5531, 0.9561], [0.5000, 0.0531, 0.0439], [0.0000, 0.8278, 0.8183], [0.0000, 0.3278, 0.1817], [0.0000, 0.4598, 0.5432], [0.0000, 0.9598, 0.4568], [0.5000, 0.6875, 0.3142], [0.5000, 0.1875, 0.6858]], "vol_a3_per_cell": 375.2, "formation_enthalpy_0k_ev_per_atom": -0.273, "space_group": "No. 26"}



[7]
{"formula": "Na2TaMo", "functional": "PBE", "state": "relaxed", "lattice_angstrom": [[-1.6784, 7.6156, -3.0126], [-2.6054, -3.4119, -7.1736], [-4.4453, 1.9531, -4.1858]], "species": ["Mo", "Mo", "Ta", "Ta", "Na", "Na", "Na", "Na"], "fractional_positions": [[0.5000, 0.5000, 0.0000], [0.2500, 0.7500, 0.5000], [0.0000, 0.0000, 0.0000], [0.7500, 0.2500, 0.5000], [0.6128, 0.1250, 0.2500], [0.1372, 0.6250, 0.2500], [0.3750, 0.3872, 0.7500], [0.8750, 0.8628, 0.7500]], "vol_a3_per_cell": 173.3, "formation_enthalpy_0k_ev_per_atom": 1.550, "space_group": "No. 122"}



[8]
{"formula": "Li2TlSe", "functional": "PBE", "state": "relaxed", "lattice_angstrom": [[-2.4183, -3.6797, 1.9462], [3.5617, -2.9941, -1.2352], [4.2536, -1.9367, 7.5778]], "species": ["Li", "Li", "Li", "Li", "Se", "Se", "Tl", "Tl"], "fractional_positions": [[0.8750, 0.7906, 0.7500], [0.5406, 0.1250, 0.2500], [0.2094, 0.6250, 0.2500], [0.3750, 0.4594, 0.7500], [0.5000, 0.5000, 0.0000], [0.2500, 0.7500, 0.5000], [0.7500, 0.2500, 0.5000], [0.0000, 0.0000, 0.0000]], "vol_a3_per_cell": 190.7, "e_form_raw_ev_per_atom": -0.53, "space_group": "No. 122"}



[9]
{"formula": "NbSnPS2", "functional": "PBE", "state": "relaxed", "lattice_angstrom": [[4.7731, 0.0000, 0.0000], [0.0000, 4.7731, 0.0000], [0.0000, 0.0000, 5.0280]], "species": ["Nb", "P", "Sn", "S", "S"], "fractional_positions": [[0.0000, 0.0000, 0.0000], [0.0000, 0.0000, 0.5000], [0.5000, 0.5000, 0.5000], [0.5000, 0.0000, 0.0000], [0.0000, 0.5000, 0.0000]], "vol_a3_per_cell": 114.5, "e_form_raw_ev_per_atom": -0.16, "space_group": "No. 123"}



[10]
{"formula": "ScWBr2", "functional": "PBE", "state": "relaxed", "lattice_angstrom": [[1.8499, 0.0000, 9.0758], [-0.9250, 1.6021, 9.0758], [-0.9250, -1.6021, 9.0758]], "species": ["Br", "Br", "W", "Sc"], "fractional_positions": [[0.0936, 0.0936, 0.0936], [0.9064, 0.9064, 0.9064], [0.0000, 0.0000, 0.0000], [0.5000, 0.5000, 0.5000]], "vol_a3_per_cell": 80.7, "e_form_raw_ev_per_atom": 0.10, "space_group": "No. 166"}



[11]
{"formula": "Ac2PtPb", "functional": "PBE", "state": "relaxed", "lattice_angstrom": [[-3.9046, -0.6456, 0.1802], [-1.7032, -0.8873, 3.4652], [-3.5258, 10.0344, 3.1012]], "species": ["Ac", "Ac", "Pb", "Pt"], "fractional_positions": [[0.9158, 0.9158, 0.2525], [0.0842, 0.0842, 0.7475], [0.5000, 0.5000, 0.5000], [0.0000, 0.0000, 0.0000]], "vol_a3_per_cell": 147.3, "formation_enthalpy_0k_ev_per_atom": 0.048, "space_group": "No. 166"}



[12]
{"formula": "Er4Th2Sc", "functional": "PBE", "state": "relaxed", "lattice_angstrom": [[5.3239, 0.0000, 0.0000], [0.0000, 5.3239, 0.0000], [-2.6620, -2.6620, 8.4463]], "species": ["Er", "Er", "Er", "Er", "Sc", "Th", "Th"], "fractional_positions": [[0.1784, 0.1784, 0.3568], [0.8216, 0.8216, 0.6432], [0.5000, 0.0000, 0.0000], [0.0000, 0.5000, 0.0000], [0.0000, 0.0000, 0.0000], [0.6186, 0.6186, 0.2373], [0.3814, 0.3814, 0.7627]], "vol_a3_per_cell": 239.4, "formation_enthalpy_0k_ev_per_atom": 0.709, "space_group": "No. 139"}



Calculated total magnetization (μB/cell), listed in the same order as above: 0.00, 0.37, 2.78, 0.00, 1.00, 0.00, 0.00, 0.00, 0.00, 0.00, 0.00, 1.13